1.
NbCr3Sn: optimized geometry, PBE.

Values from the calculation:
- Crystal system: cubic
- E_tot: -34.23 eV for the cell shown
- ΔE to the lowest computed polymorph: 34.6 kJ per mole of atoms
- DFT formation energy: 1.74 eV per atom
- Volume: 23.5 Å³/atom
- M_tot: 1.566 μB/atom

Structure (POSCAR):
```
NbCr3Sn
1.0
-4.755 -0.669 0.955
1.043 -0.647 4.740
-0.522 4.807 0.771
Cr Sn Nb
3 1 1
Cartesian
-2.378 -0.335 0.477
0.521 -0.323 2.370
-0.261 2.403 0.385
0.000 0.000 0.000
-2.117 1.745 3.233
```

2.
NbCrSn2: optimized geometry, PBE.

Values from the calculation:
- Crystal system: tetragonal
- E_tot: -51.44 eV for the cell shown
- ΔE to the lowest computed polymorph: 8.5 kJ per mole of atoms
- DFT formation energy: 0.49 eV per atom
- Volume: 21.1 Å³/atom
- M_tot: 0.744 μB/atom

Structure (POSCAR):
```
NbCrSn2
1.0
7.530 0.000 0.000
0.000 7.530 0.000
3.765 3.765 2.983
Sn Cr Nb
4 2 2
Cartesian
9.412 9.286 2.237
2.008 5.647 0.746
5.647 5.773 2.237
5.521 1.882 0.746
3.765 7.530 1.492
3.765 3.765 0.000
0.000 0.000 0.000
7.530 3.765 1.492
```

3.
NbCrSn2: optimized geometry, PBE.

Values from the calculation:
- Crystal system: cubic
- E_tot: -26.07 eV for the cell shown
- ΔE to the lowest computed polymorph: 0.0 kJ per mole of atoms
- DFT formation energy: 0.41 eV per atom
- Volume: 18.4 Å³/atom
- M_tot: 0.000 μB/atom

Structure (POSCAR):
```
NbCrSn2
1.0
3.986 2.117 1.337
-0.170 3.820 2.745
1.413 -0.258 4.483
Cr Sn Nb
1 2 1
Cartesian
0.000 0.000 0.000
1.307 1.420 2.141
3.922 4.260 6.423
2.615 2.840 4.282
```

4.
NbCr3Sn: optimized geometry, PBE.

Values from the calculation:
- Crystal system: cubic
- E_tot: -36.02 eV for the cell shown
- ΔE to the lowest computed polymorph: 0.0 kJ per mole of atoms
- DFT formation energy: 1.38 eV per atom
- Volume: 21.2 Å³/atom
- M_tot: 1.577 μB/atom

Structure (POSCAR):
```
NbCr3Sn
1.0
4.735 0.000 0.000
0.000 4.735 0.000
0.000 0.000 4.735
Cr Nb Sn
3 1 1
Cartesian
2.368 0.000 0.000
0.000 2.368 0.000
0.000 0.000 2.368
0.000 0.000 0.000
2.368 2.368 2.368
```

5.
NbCrSn: optimized geometry, PBE.

Values from the calculation:
- Crystal system: orthorhombic
- E_tot: -44.73 eV for the cell shown
- DFT formation energy: 0.44 eV per atom
- Volume: 17.8 Å³/atom
- M_tot: 0.440 μB/atom

Structure (POSCAR):
```
NbCrSn
1.0
-2.881 -3.278 1.046
-0.604 -0.368 -2.818
5.730 -5.669 -1.986
Sn Nb Cr
2 2 2
Cartesian
3.397 -5.022 -1.570
-1.152 -4.293 -2.187
2.722 -7.815 -2.558
-0.476 -1.500 -1.200
0.821 -6.087 -2.376
1.424 -3.228 -1.381
```

6.
NbCr2Sn: optimized geometry, PBE.

Values from the calculation:
- Crystal system: tetragonal
- E_tot: -60.33 eV for the cell shown
- DFT formation energy: 0.79 eV per atom
- Volume: 18.7 Å³/atom
- M_tot: 1.358 μB/atom

Structure (POSCAR):
```
NbCr2Sn
1.0
-2.212 -1.950 6.638
6.347 -3.346 1.133
3.144 -0.245 4.950
Nb Cr Sn
2 4 2
Cartesian
5.779 -3.119 4.984
2.067 -2.648 3.886
4.424 -2.443 2.933
4.060 -2.249 6.654
5.825 -4.738 10.485
0.249 -1.652 5.370
0.000 0.000 0.000
1.499 -2.421 7.737
```

7.
Nb3CrSn: optimized geometry, PBE.

Values from the calculation:
- Crystal system: cubic
- E_tot: -40.78 eV for the cell shown
- ΔE to the lowest computed polymorph: 0.0 kJ per mole of atoms
- DFT formation energy: 0.61 eV per atom
- Volume: 20.1 Å³/atom
- M_tot: 0.000 μB/atom

Structure (POSCAR):
```
Nb3CrSn
1.0
4.649 0.000 0.000
0.000 4.649 0.000
0.000 0.000 4.649
Nb Cr Sn
3 1 1
Cartesian
2.324 0.000 0.000
0.000 2.324 0.000
0.000 0.000 2.324
0.000 0.000 0.000
2.324 2.324 2.324
```

8.
TaNbCr2Sn: optimized geometry, PBE.

Values from the calculation:
- Crystal system: tetragonal
- E_tot: -38.39 eV for the cell shown
- DFT formation energy: 1.36 eV per atom
- Volume: 21.8 Å³/atom
- M_tot: 0.963 μB/atom

Structure (POSCAR):
```
TaNbCr2Sn
1.0
-0.239 -1.316 -4.499
-4.495 -1.929 0.803
-1.965 4.118 -1.101
Nb Sn Cr Ta
1 1 2 1
Cartesian
-2.247 -0.965 0.402
-3.349 0.436 -2.398
-0.982 2.059 -0.550
-0.120 -0.658 -2.250
0.000 0.000 0.000
```

9.
NbCr2SnTe: optimized geometry, PBE.

Values from the calculation:
- Crystal system: tetragonal
- Raw formation energy: 2.1667 eV/atom
- E_tot: -25.63 eV for the cell shown
- Volume: 24.5 Å³/atom
- M_tot: 0.140 μB/atom

Structure (POSCAR):
```
NbCr2SnTe
1.0
-2.395 1.365 3.834
-3.976 -3.603 -1.201
2.215 -3.296 2.556
Sn Te Cr Nb
1 1 2 1
Cartesian
0.000 0.000 0.000
-1.988 -1.802 -0.600
1.107 -1.648 1.278
-1.197 0.682 1.917
-2.078 -2.767 2.595
```

10.
NbVCrSn: optimized geometry, PBE.

Values from the calculation:
- Crystal system: cubic
- E_tot: -32.61 eV for the cell shown
- DFT formation energy: 0.05 eV per atom
- Volume: 16.2 Å³/atom
- M_tot: 0.621 μB/atom

Structure (POSCAR):
```
NbVCrSn
1.0
-2.476 3.736 -0.443
-4.451 -0.308 -0.614
-2.818 1.238 3.289
V Nb Cr Sn
1 1 1 1
Cartesian
-4.872 2.333 1.116
-7.309 3.500 1.674
0.000 0.000 0.000
-2.436 1.167 0.558
```

11.
ZrNbCr2Sn: optimized geometry, PBE.

Values from the calculation:
- Crystal system: tetragonal
- E_tot: -35.63 eV for the cell shown
- DFT formation energy: 1.25 eV per atom
- Volume: 21.2 Å³/atom
- M_tot: 0.003 μB/atom

Structure (POSCAR):
```
ZrNbCr2Sn
1.0
4.495 0.000 0.000
0.000 5.240 0.000
0.000 0.000 4.495
Nb Cr Zr Sn
1 2 1 1
Cartesian
0.000 0.000 0.000
0.000 0.000 2.247
2.247 0.000 0.000
0.000 2.620 0.000
2.247 2.620 2.247
```

12.
SrNbCr2: optimized geometry, PBE.

Values from the calculation:
- Crystal system: cubic
- E_tot: -27.31 eV for the cell shown
- ΔE to the lowest computed polymorph: 0.0 kJ per mole of atoms
- DFT formation energy: 0.92 eV per atom
- Volume: 20.4 Å³/atom
- M_tot: 1.248 μB/atom

Structure (POSCAR):
```
SrNbCr2
1.0
4.331 1.403 1.729
0.715 4.637 1.305
0.484 1.159 4.706
Nb Sr Cr
1 1 2
Cartesian
2.765 3.600 3.870
0.000 0.000 0.000
4.148 5.399 5.805
1.383 1.800 1.935
```